{"formula": "IrBrNO2", "functional": "meta-GGA SCAN", "state": "single point on PBEsol structure", "lattice_angstrom": [[3.875, 0.000, 0.000], [0.000, 3.882, 0.000], [0.000, 0.000, 3.882]], "species": ["Ir", "O", "N", "Br", "O"], "fractional_positions": [[0.000, 0.000, 0.000], [0.000, 0.000, 0.500], [0.500, 0.000, 0.000], [0.500, 0.500, 0.500], [0.000, 0.500, 0.000]], "magnetic_moment_mub_per_fu": 0.0}


{"formula": "ReIrBrN2", "functional": "meta-GGA SCAN", "state": "single point on PBEsol structure", "lattice_angstrom": [[-3.306, -1.730, 0.055], [0.674, -1.397, -3.394], [2.372, -4.459, 2.307]], "species": ["N", "Re", "N", "Br", "Ir"], "fractional_positions": [[0.000, 0.500, 0.000], [0.000, 0.000, 0.500], [0.500, 0.000, 0.000], [0.500, 0.500, 0.500], [0.000, 0.000, 0.000]], "magnetic_moment_mub_per_fu": 3.4}


{"formula": "IrSeBr2N", "functional": "meta-GGA SCAN", "state": "single point on PBEsol structure", "lattice_angstrom": [[-0.019, -2.368, 3.924], [-0.851, -4.400, -2.659], [5.141, -0.740, -0.422]], "species": ["Ir", "Br", "Br", "N", "Se"], "fractional_positions": [[0.000, 0.000, 0.000], [0.000, 0.000, 0.500], [0.000, 0.500, 0.000], [0.500, 0.500, 0.500], [0.500, 0.000, 0.000]], "magnetic_moment_mub_per_fu": 2.9}


no.,energy (eV/cell),DOS at the Fermi energy (states/eV/f.u.)
1,-109.71,2.60
2,-173.34,2.73
3,-133.60,2.58